No. 1
Density functional theory data (GGA-PBE) for SrLaMg2Cu after structural relaxation.

Cell and atoms, written as POSCAR:
```
SrLaMg2Cu
1.0
5.311 0.000 0.000
0.000 5.311 0.000
0.000 0.000 5.381
La Cu Sr Mg
1 1 1 2
direct
0.000 0.000 0.500
0.000 0.000 0.000
0.500 0.500 0.500
0.000 0.500 0.000
0.500 0.000 0.000
```

Calculated values
V = 151.8 Å³ per cell
DFT total energy = -13.80 eV per cell
Crystal system = tetragonal



No. 2
Density functional theory data (GGA-PBE) for SrLa2MgCu after structural relaxation.

Cell and atoms, written as POSCAR:
```
SrLa2MgCu
1.0
-5.628 -1.012 0.635
0.362 -4.360 -3.737
1.025 -3.254 3.896
Sr La Mg Cu
1 2 1 1
direct
0.500 0.500 0.500
0.500 0.000 0.000
0.000 0.500 0.000
0.000 0.000 0.500
0.000 0.000 0.000
```

Calculated values
V = 171.4 Å³ per cell
DFT total energy = -16.90 eV per cell
Crystal system = tetragonal



No. 3
Density functional theory data (GGA-PBE) for LaMgCuTe3 after structural relaxation.

Cell and atoms, written as POSCAR:
```
LaMgCuTe3
1.0
4.277 0.000 0.000
0.000 8.704 0.196
0.000 -2.107 9.162
La Cu Mg Te
2 2 2 6
direct
0.250 0.174 0.250
0.750 0.826 0.750
0.750 0.934 0.429
0.250 0.066 0.571
0.250 0.656 0.153
0.750 0.344 0.847
0.250 0.579 0.840
0.750 0.896 0.137
0.250 0.759 0.475
0.250 0.104 0.863
0.750 0.241 0.525
0.750 0.421 0.160
```

Calculated values
V = 342.8 Å³ per cell
Formation energy without anion corrections = -0.970 eV/atom
Crystal system = monoclinic



No. 4
Density functional theory data (GGA-PBE) for LaMg2TlCu after structural relaxation.

Cell and atoms, written as POSCAR:
```
LaMg2TlCu
1.0
-4.580 1.443 1.473
-2.024 -2.466 -3.879
-0.418 -4.412 3.022
La Cu Mg Tl
1 1 2 1
direct
0.000 0.000 0.500
0.000 0.000 0.000
0.000 0.500 0.000
0.500 0.000 0.000
0.500 0.500 0.500
```

Calculated values
V = 135.3 Å³ per cell
DFT total energy = -14.91 eV per cell
Crystal system = tetragonal



No. 5
Density functional theory data (GGA-PBE) for LaMgTlCu after structural relaxation.

Cell and atoms, written as POSCAR:
```
LaMgTlCu
1.0
5.158 0.000 0.000
2.579 4.467 0.000
2.579 1.489 4.212
Tl Cu La Mg
1 1 1 1
direct
0.750 0.750 0.750
0.250 0.250 0.250
0.500 0.500 0.500
0.000 0.000 0.000
```

Calculated values
V = 97.0 Å³ per cell
DFT total energy = -13.82 eV per cell
Crystal system = cubic



No. 6
Density functional theory data (GGA-PBE) for La2YMgCu after structural relaxation.

Cell and atoms, written as POSCAR:
```
La2YMgCu
1.0
-1.053 -4.619 3.334
0.025 -3.394 -4.694
5.458 -0.804 0.610
La Mg Cu Y
2 1 1 1
direct
0.500 0.000 0.000
0.000 0.500 0.000
0.000 0.000 0.500
0.500 0.500 0.500
0.000 0.000 0.000
```

Calculated values
V = 186.3 Å³ per cell
DFT total energy = -17.05 eV per cell
Crystal system = tetragonal



No. 7
Density functional theory data (GGA-PBE) for LaY2MgCu after structural relaxation.

Cell and atoms, written as POSCAR:
```
LaY2MgCu
1.0
-0.242 -0.709 -5.344
5.356 0.571 -0.319
0.573 -5.018 0.639
Cu Y Mg La
1 2 1 1
direct
0.000 0.000 0.000
0.000 0.500 0.000
0.500 0.000 0.000
0.000 0.000 0.500
0.500 0.500 0.500
```

Calculated values
V = 148.2 Å³ per cell
DFT total energy = -23.18 eV per cell
Crystal system = tetragonal



No. 8
Density functional theory data (GGA-PBE) for LaMgZn2Cu2 after structural relaxation.

Cell and atoms, written as POSCAR:
```
LaMgZn2Cu2
1.0
4.391 0.000 0.000
-2.195 3.803 0.000
0.000 0.000 6.821
Zn Cu Mg La
2 2 1 1
direct
0.667 0.333 0.697
0.333 0.667 0.303
0.333 0.667 0.699
0.667 0.333 0.301
0.000 0.000 0.500
0.000 0.000 0.000
```

Calculated values
V = 113.9 Å³ per cell
DFT total energy = -18.66 eV per cell
Crystal system = trigonal



No. 9
Density functional theory data (GGA-PBE) for La2MgZn3Cu12 after structural relaxation.

Cell and atoms, written as POSCAR:
```
La2MgZn3Cu12
1.0
-5.987 -2.616 3.722
-1.549 -7.202 -1.512
1.778 -4.682 5.609
La Cu Zn Mg
2 12 3 1
direct
0.598 0.598 0.598
0.402 0.402 0.402
0.020 0.357 0.357
0.357 0.020 0.357
0.856 0.856 0.356
0.643 0.980 0.643
0.644 0.144 0.144
0.643 0.643 0.980
0.856 0.356 0.856
0.980 0.643 0.643
0.144 0.644 0.144
0.357 0.357 0.020
0.144 0.144 0.644
0.356 0.856 0.856
0.000 0.500 0.000
0.500 0.000 0.000
0.000 0.000 0.500
0.000 0.000 0.000
```

Calculated values
V = 343.2 Å³ per cell
DFT total energy = -59.85 eV per cell
Crystal system = trigonal



No. 10
Density functional theory data (GGA-PBE) for La2MgZn12Cu3 after structural relaxation.

Cell and atoms, written as POSCAR:
```
La2MgZn12Cu3
1.0
8.714 0.437 0.310
4.683 7.362 0.310
4.683 2.726 6.845
Zn La Cu Mg
12 2 3 1
direct
0.349 0.349 0.859
0.157 0.157 0.507
0.651 0.651 0.141
0.843 0.493 0.843
0.843 0.843 0.493
0.859 0.349 0.349
0.493 0.843 0.843
0.157 0.507 0.157
0.507 0.157 0.157
0.651 0.141 0.651
0.349 0.859 0.349
0.141 0.651 0.651
0.394 0.394 0.394
0.606 0.606 0.606
0.000 0.000 0.500
0.000 0.500 0.000
0.500 0.000 0.000
0.000 0.000 0.000
```

Calculated values
V = 411.7 Å³ per cell
DFT total energy = -35.40 eV per cell
Crystal system = trigonal



No. 11
Density functional theory data (GGA-PBE) for LaMgZnCu2 after structural relaxation.

Cell and atoms, written as POSCAR:
```
LaMgZnCu2
1.0
-1.143 -2.033 3.377
-0.908 -3.285 -2.285
6.514 0.679 0.120
Zn La Cu Mg
1 1 2 1
direct
0.250 0.750 0.500
0.000 0.000 0.000
0.606 0.606 0.213
0.394 0.394 0.787
0.750 0.250 0.500
```

Calculated values
V = 98.9 Å³ per cell
DFT total energy = -17.03 eV per cell
Crystal system = tetragonal



No. 12
Density functional theory data (GGA-PBE) for LaMgZrCu2 after structural relaxation.

Cell and atoms, written as POSCAR:
```
LaMgZrCu2
1.0
-2.544 -1.370 4.192
-1.071 -4.503 -2.122
4.488 -2.037 2.058
La Zr Mg Cu
1 1 1 2
direct
0.000 0.000 0.000
0.000 0.000 0.500
0.500 0.500 0.500
0.000 0.500 0.000
0.500 0.000 0.000
```

Calculated values
V = 138.5 Å³ per cell
DFT total energy = -17.43 eV per cell
Crystal system = tetragonal